9
Lattice="-3.874 1.138 -2.428 -2.533 -2.951 2.660 -1.430 5.686 4.946" Properties=species:S:1:pos:R:3 comment="PBE-GGA LaAs2Pd5Au, relaxed" e_form_ev_per_atom=-0.440 pbc="T T T"
Pd -2.335 2.775 5.027
Pd -2.298 2.004 0.035
Pd -3.918 1.936 2.589
La -0.715 2.843 2.473
Pd -3.006 4.819 2.484
As -3.436 0.019 0.921
Au 0.000 0.000 0.000
Pd -1.627 -0.040 2.579
As -4.401 3.854 4.257



14
Lattice="8.518 0.018 0.185 2.839 8.031 0.185 2.520 1.786 8.802" Properties=species:S:1:pos:R:3 comment="PBE-GGA CdSnHgBr4, relaxed" e_form_raw_ev_per_atom=-0.63 pbc="T T T"
Sn 5.398 3.826 8.309
Br 8.834 8.568 7.976
Br 10.022 7.103 3.879
Br 2.866 4.338 1.195
Br 11.011 5.497 7.976
Br 7.048 4.995 6.375
Br 5.042 1.267 1.195
Hg 13.069 9.263 7.690
Sn 8.479 6.010 0.862
Br 3.855 2.732 5.292
Hg 0.808 0.573 1.481
Cd 9.202 6.522 6.223
Cd 4.675 3.313 2.948
Br 6.828 4.840 2.796



5
Lattice="-4.122 0.092 -1.033 0.672 -2.986 -2.950 -0.789 -3.024 2.881" Properties=species:S:1:pos:R:3 comment="PBE-GGA CdBP3, relaxed" e_form_ev_per_atom=0.829 de_polymorph_mev_per_atom=0 pbc="T T T"
Cd -2.120 -2.959 -0.550
P -2.061 0.046 -0.516
B 0.000 0.000 0.000
P 0.336 -1.493 -1.475
P -0.395 -1.512 1.441



4
Lattice="2.925 0.000 0.000 0.000 3.738 0.000 0.000 0.000 7.604" Properties=species:S:1:pos:R:3 comment="PBE-GGA KCr2Tc, relaxed" e_form_ev_per_atom=0.788 de_polymorph_mev_per_atom=0 pbc="T T T"
Cr 0.000 0.000 4.711
Tc 1.463 1.869 5.703
K 1.463 1.869 1.901
Cr 0.000 0.000 6.694



16
Lattice="-0.771 1.585 4.523 4.733 -5.634 0.176 19.042 15.922 -2.335" Properties=species:S:1:pos:R:3 comment="PBE-GGA K5Na2Ag, relaxed" e_form_ev_per_atom=0.026 pbc="T T T"
Ag 6.512 2.030 0.398
K 14.994 6.621 2.839
Ag 16.493 9.842 1.966
K 11.808 3.761 0.694
K 3.982 -2.782 1.653
K 11.196 8.111 1.670
Na 14.892 8.710 -0.515
K 20.009 10.815 2.224
K 9.029 -0.774 1.809
Na 8.112 3.162 2.879
Na 5.495 0.975 3.199
K 13.975 12.646 0.554
K 19.022 14.655 0.710
Na 17.509 10.898 -0.836
K 2.995 1.058 0.140
K 8.010 5.251 -0.475



4
Lattice="0.103 -4.541 1.715 -2.268 -1.077 4.155 -4.027 -2.711 -0.064" Properties=species:S:1:pos:R:3 comment="PBE-GGA KFeAs2, relaxed" e_form_ev_per_atom=0.495 de_polymorph_mev_per_atom=640 pbc="T T T"
As -4.644 -6.247 4.354
As -1.548 -2.082 1.451
K 0.000 0.000 0.000
Fe -3.096 -4.164 2.903



8
Lattice="-3.584 -6.094 -1.127 5.441 -3.717 2.798 -0.202 -4.698 3.310" Properties=species:S:1:pos:R:3 comment="PBE-GGA CuSbPd2, relaxed" e_form_raw_ev_per_atom=-0.08 pbc="T T T"
Pd 0.619 -7.254 3.147
Pd 1.399 -12.057 3.906
Cu 3.084 -6.660 3.471
Cu 0.929 -4.905 0.835
Pd -1.561 -5.364 0.488
Pd 2.853 -4.343 2.420
Sb -1.429 -7.849 1.509
Sb 0.000 0.000 0.000



14
Lattice="6.294 -0.347 -0.243 -1.605 6.095 -0.243 0.121 0.148 9.386" Properties=species:S:1:pos:R:3 comment="PBE-GGA Na3Hg3Pd, relaxed" e_form_ev_per_atom=-0.177 pbc="T T T"
Na 1.986 2.435 6.495
Pd 3.360 4.119 8.681
Hg 2.885 0.375 2.319
Hg 1.925 5.521 6.579
Hg 4.550 5.578 1.288
Na 4.340 1.246 -0.243
Na 0.349 4.502 -0.243
Na 5.047 0.793 4.449
Hg 0.259 0.318 7.610
Hg 5.022 2.995 6.579
Na 2.823 3.461 2.404
Hg -0.212 2.901 2.319
Pd 1.449 1.777 0.217
Na -0.237 5.103 4.449



4
Lattice="5.496 0.041 0.001 -2.030 5.108 0.001 0.000 0.000 4.478" Properties=species:S:1:pos:R:3 comment="PBE-GGA K2TeSe, relaxed" e_form_raw_ev_per_atom=-0.77 de_polymorph_mev_per_atom=64 pbc="T T T"
K 1.733 2.574 0.001
Se 2.748 0.020 2.239
K 0.000 0.000 0.000
Te -1.015 2.554 2.239



5
Lattice="4.217 0.000 0.000 0.000 4.217 0.000 0.000 0.000 4.509" Properties=species:S:1:pos:R:3 comment="PBE-GGA CoTcP2S, relaxed" e_form_raw_ev_per_atom=0.79 de_polymorph_mev_per_atom=0 pbc="T T T"
Tc 2.108 2.108 2.255
Co 0.000 0.000 0.000
P 0.000 2.108 0.000
P 2.108 0.000 0.000
S 0.000 0.000 2.255



11
Lattice="-2.701 -2.588 3.215 -0.383 -5.503 -4.751 9.323 -0.602 3.563" Properties=species:S:1:pos:R:3 comment="PBE-GGA La8Ge2Pd, relaxed" e_form_ev_per_atom=-0.449 de_polymorph_mev_per_atom=0 pbc="T T T"
La 5.445 -1.344 3.492
Ge 2.626 -4.767 -1.631
La 6.291 -4.440 1.711
La 6.228 -4.326 5.533
La 0.012 -4.366 -3.505
Pd -1.350 -1.294 1.608
La -0.051 -4.253 0.317
Ge 3.613 -3.925 3.659
La 3.255 -2.614 0.631
La 0.794 -7.348 -1.464
La 2.984 -6.079 1.397



4
Lattice="-0.866 1.263 -2.957 -3.132 0.363 1.072 1.310 5.498 1.964" Properties=species:S:1:pos:R:3 comment="PBE-GGA Ta2ZnMo, relaxed" e_form_ev_per_atom=0.021 pbc="T T T"
Ta -1.658 2.246 -0.431
Zn 0.662 2.781 0.994
Mo -1.026 4.897 0.516
Ta 1.297 5.447 1.946



10
Lattice="-0.941 2.189 6.595 6.178 -2.785 1.806 1.217 2.314 -0.594" Properties=species:S:1:pos:R:3 comment="PBE-GGA Mn2NbSi2, relaxed" e_form_raw_ev_per_atom=-0.35 pbc="T T T"
Nb 2.618 -0.298 4.201
Mn 4.452 -0.321 1.817
Nb 0.000 0.000 0.000
Si 4.935 -1.602 3.866
Mn 2.001 2.040 5.990
Si 2.040 -0.659 1.609
Mn 1.164 1.535 2.310
Mn 5.289 0.184 5.497
Si 3.196 0.064 6.793
Si 0.301 1.007 4.536



4
Lattice="5.076 0.000 0.000 2.538 4.396 0.000 2.538 1.465 4.144" Properties=species:S:1:pos:R:3 comment="PBE-GGA LaInHgRh, relaxed" e_form_ev_per_atom=-0.394 pbc="T T T"
Hg 5.076 2.931 2.072
Rh 0.000 0.000 0.000
In 7.614 4.396 3.108
La 2.538 1.465 1.036



4
Lattice="4.660 0.000 -0.006 3.846 2.632 -0.006 0.763 0.236 4.761" Properties=species:S:1:pos:R:3 comment="PBE-GGA NiIrW2, relaxed" e_form_ev_per_atom=-0.044 pbc="T T T"
W 8.494 2.628 0.137
Ni 2.313 0.716 1.110
Ir 4.644 1.437 2.399
W 6.956 2.152 3.465



4
Lattice="4.713 0.000 0.000 2.357 4.082 0.000 2.357 1.361 3.848" Properties=species:S:1:pos:R:3 comment="PBE-GGA CePd2Pt, relaxed" e_form_ev_per_atom=-0.692 de_polymorph_mev_per_atom=201 pbc="T T T"
Ce 0.000 0.000 0.000
Pd 7.070 4.082 2.886
Pt 4.713 2.721 1.924
Pd 2.357 1.361 0.962



3
Lattice="5.405 -0.026 -0.094 1.537 5.182 0.094 -3.415 -2.652 3.244" Properties=species:S:1:pos:R:3 comment="PBE-GGA BaCuAs, relaxed" e_form_ev_per_atom=-0.213 pbc="T T T"
As 0.232 0.172 0.000
Ba 4.643 3.448 0.000
Cu 2.066 1.535 0.000



24
Lattice="-0.521 -2.231 1.744 1.710 -0.333 -2.292 19.173 6.018 13.431" Properties=species:S:1:pos:R:3 comment="PBE-GGA Be2BN, relaxed" e_form_raw_ev_per_atom=-0.62 de_polymorph_mev_per_atom=28 pbc="T T T"
Be 3.335 1.047 2.336
N 9.690 3.042 6.789
B 19.240 4.770 11.854
Be 2.899 -0.359 0.407
Be 0.729 0.229 0.511
Be 14.477 3.275 8.518
Be 8.323 2.612 5.831
N 4.266 0.070 1.365
Be 11.036 3.464 7.732
Be 14.936 3.020 10.706
Be 17.650 3.871 12.607
Be 7.342 0.636 5.386
N 14.099 4.425 9.877
N 1.540 -1.185 1.321
B 5.703 0.122 4.238
B 5.491 1.724 3.847
Be 9.948 1.454 7.212
N 16.304 3.449 11.664
Be 5.612 0.492 2.307
Be 17.083 4.093 10.343
B 12.105 2.131 8.723
B 18.262 5.732 12.794
B 12.838 2.760 7.370
N 8.674 1.453 4.453



5
Lattice="5.021 0.000 0.000 0.000 5.021 0.000 0.000 0.000 5.021" Properties=species:S:1:pos:R:3 comment="PBE-GGA LaSc3Pt, relaxed" e_form_ev_per_atom=0.970 de_polymorph_mev_per_atom=1378 pbc="T T T"
Sc 0.000 0.000 2.510
Pt 2.510 2.510 2.510
Sc 2.510 0.000 0.000
Sc 0.000 2.510 0.000
La 0.000 0.000 0.000



14
Lattice="-5.296 -0.302 3.179 -2.910 -3.057 -5.138 5.893 -9.942 2.578" Properties=species:S:1:pos:R:3 comment="PBE-GGA Tb4PrNd2, relaxed" e_form_ev_per_atom=0.117 de_polymorph_mev_per_atom=0 pbc="T T T"
Nd 0.355 -5.336 0.823
Nd 3.052 -10.729 2.504
Tb -1.905 -6.736 2.936
Nd -5.365 -2.572 -1.885
Nd -2.668 -7.965 -0.203
Tb -2.471 -10.886 1.423
Tb -1.680 -3.084 2.721
Tb 0.778 -8.735 0.389
Tb -0.633 -10.217 -2.101
Pr -2.263 -3.730 -2.952
Tb -3.090 -4.566 0.231
Tb 0.158 -2.416 -0.804
Pr -0.049 -9.571 3.572
Tb -0.407 -6.565 -2.317